# 1
The following is a GGA-PBE calculation of a geometry-optimized Pr8DyTh2 structure, from Alexandria.

abc: 9.5697 9.5697 9.5697
angles: 144.83 128.15 64.21
Fractional positions:
Pr: 0.1562 0.3621 0.7941
Pr: 0.1597 0.1597 0.0000
Pr: 0.2947 0.0000 0.2947
Pr: 0.4320 0.6379 0.7941
Pr: 0.5680 0.3621 0.2059
Pr: 0.7053 0.0000 0.7053
Pr: 0.8403 0.8403 0.0000
Pr: 0.8438 0.6379 0.2059
Dy: 0.0000 0.5000 0.5000
Th: 0.2996 0.7996 0.5000
Th: 0.7004 0.2004 0.5000

Calculated values
Total magnetization = 0.000 μB/atom
VASP energy = -5.09 eV/atom
V = 392.3 Å³/f.u.

=====

# 2
The following is a GGA-PBE calculation of a geometry-optimized Pr9Dy2Th structure, from Alexandria.

abc: 5.1964 5.1964 15.5859
angles: 90.00 90.00 90.00
Fractional positions:
Pr: 0.0000 0.0000 0.0000
Pr: 0.0000 0.0000 0.3353
Pr: 0.0000 0.0000 0.6647
Pr: 0.0000 0.5000 0.1648
Pr: 0.0000 0.5000 0.5000
Pr: 0.0000 0.5000 0.8352
Pr: 0.5000 0.0000 0.1648
Pr: 0.5000 0.0000 0.5000
Pr: 0.5000 0.0000 0.8352
Dy: 0.5000 0.5000 0.3341
Dy: 0.5000 0.5000 0.6659
Th: 0.5000 0.5000 0.0000

Calculated values
Total magnetization = 0.000 μB/atom
VASP energy = -4.94 eV/atom
V = 420.9 Å³/f.u.

=====

# 3
The following is a GGA-PBE calculation of a geometry-optimized PrDy4Th2 structure, from Alexandria.

abc: 3.5175 8.7916 8.8457
angles: 119.34 90.05 101.48
Fractional positions:
Pr: 0.0000 0.0000 0.0000
Dy: 0.2941 0.5865 0.7044
Dy: 0.3518 0.7055 0.1547
Dy: 0.6482 0.2945 0.8453
Dy: 0.7059 0.4135 0.2956
Th: 0.0683 0.1379 0.4364
Th: 0.9317 0.8621 0.5636

Calculated values
Total magnetization = 0.000 μB/atom
VASP energy = -5.34 eV/atom
V = 232.2 Å³/f.u.

=====

# 4
The following is a GGA-PBE calculation of a geometry-optimized Pr3Dy8Th3 structure, from Alexandria.

abc: 9.7137 9.7137 9.7137
angles: 146.02 112.64 77.64
Fractional positions:
Pr: 0.0000 0.0000 0.0000
Pr: 0.3104 0.0000 0.3104
Pr: 0.6896 0.0000 0.6896
Dy: 0.0563 0.3961 0.6603
Dy: 0.0676 0.2252 0.8423
Dy: 0.2642 0.6039 0.6603
Dy: 0.3829 0.2252 0.1577
Dy: 0.6171 0.7748 0.8423
Dy: 0.7358 0.3961 0.3397
Dy: 0.9324 0.7748 0.1577
Dy: 0.9437 0.6039 0.3397
Th: 0.3137 0.8137 0.5000
Th: 0.5000 0.5000 0.0000
Th: 0.6863 0.1863 0.5000

Calculated values
Total magnetization = 0.000 μB/atom
VASP energy = -5.08 eV/atom
V = 462.9 Å³/f.u.

=====

# 5
The following is a GGA-PBE calculation of a geometry-optimized PrDy8Th2 structure, from Alexandria.

abc: 10.1843 10.1843 5.5589
angles: 92.10 92.10 40.40
Fractional positions:
Pr: 0.0000 0.0000 0.0000
Dy: 0.1371 0.5972 0.2623
Dy: 0.1835 0.1835 0.2335
Dy: 0.4028 0.8629 0.7377
Dy: 0.4526 0.4526 0.7610
Dy: 0.5474 0.5474 0.2390
Dy: 0.5972 0.1371 0.2623
Dy: 0.8165 0.8165 0.7665
Dy: 0.8629 0.4028 0.7377
Th: 0.2826 0.2826 0.7393
Th: 0.7174 0.7174 0.2607

Calculated values
Total magnetization = 0.000 μB/atom
VASP energy = -4.95 eV/atom
Polymorph energy (0 for the lowest one) = 0.0000 eV per atom
V = 373.4 Å³/f.u.

=====

# 6
The following is a GGA-PBE calculation of a geometry-optimized PrDyTh4 structure, from Alexandria.

abc: 3.6002 3.6002 15.1681
angles: 90.00 90.00 90.00
Fractional positions:
Pr: 0.0000 0.0000 0.0000
Dy: 0.5000 0.5000 0.5000
Th: 0.0000 0.0000 0.3344
Th: 0.0000 0.0000 0.6656
Th: 0.5000 0.5000 0.1743
Th: 0.5000 0.5000 0.8257

Calculated values
Total magnetization = 0.000 μB/atom
VASP energy = -6.46 eV/atom
Polymorph energy (0 for the lowest one) = 0.0000 eV per atom
V = 196.6 Å³/f.u.